No. 1
# La3Ta2S2N5

A relaxed La3Ta2S2N5 crystal (PBE, Alexandria via LeMat-Bulk).

Output
uncorrected formation energy = -1.621 eV per atom
uncorrected energy = -0.3302 hartree per atom
symmetry = I4/mmm, No. 139

Cell and atoms, written as extended XYZ:
```
12
Lattice="-3.252 2.252 1.124 -2.368 -3.359 -0.120 5.220 -1.546 10.678" Properties=species:S:1:pos:R:3 pbc="T T T"
La 0.803 -0.700 3.727
La -1.204 -1.953 7.954
La 0.000 0.000 0.000
Ta 2.002 -1.744 9.286
Ta -2.402 -0.909 2.395
S -1.834 -1.404 5.028
S 1.434 -1.250 6.654
N -1.178 0.736 2.639
N 0.778 -3.389 9.042
N -0.736 -2.070 2.017
N 0.336 -0.584 9.665
N -2.810 -0.554 0.502
```

=====

No. 2
# Ho2CuPb

A relaxed Ho2CuPb crystal (PBE, Alexandria via LeMat-Bulk).

Output
uncorrected energy = -0.1529 hartree per atom
energy of formation = 0.08 eV per atom
symmetry = R-3m, No. 166

Cell and atoms, written as extended XYZ:
```
4
Lattice="3.699 0.000 0.000 1.850 3.204 0.000 1.850 1.068 9.907" Properties=species:S:1:pos:R:3 pbc="T T T"
Pb 0.000 0.000 0.000
Ho 1.850 1.068 6.752
Ho 5.549 3.204 3.156
Cu 3.699 2.136 4.954
```

=====

No. 3
# Ga3SnN

A relaxed Ga3SnN crystal (PBE, Alexandria via LeMat-Bulk).

Output
uncorrected formation energy = 1.611 eV per atom
uncorrected energy = -0.0981 hartree per atom
symmetry = Pm-3m, No. 221
offset from the most stable computed form = 1261 meV/atom

Cell and atoms, written as extended XYZ:
```
5
Lattice="-3.550 -3.854 -0.136 3.287 -3.121 2.632 -2.017 1.697 4.531" Properties=species:S:1:pos:R:3 pbc="T T T"
Sn 0.000 0.000 0.000
Ga 1.644 -1.561 1.316
Ga -1.008 0.849 2.265
Ga -1.775 -1.927 -0.068
N -1.140 -2.639 3.513
```